(w)
A plane-wave DFT calculation with PBE-GGA was carried out for a relaxed NaBiPO2 crystal.

Unit cell a=4.3383 b=4.3383 c=5.4019 alpha=90.00 beta=90.00 gamma=90.00
Last column: nearest neighbours and their distance in Å.
Fractional positions:
Na  0.5000  0.5000  0.5000  4 P 3.07
P  0.0000  0.0000  0.5000  2 Bi 2.70
O  0.5000  0.0000  0.0000  2 Bi 2.17
O  0.0000  0.5000  0.0000  2 Bi 2.17
Bi  0.0000  0.0000  0.0000  4 O 2.17

(x)
A plane-wave DFT calculation with PBE-GGA was carried out for a relaxed NaBiPO2 crystal.

Unit cell a=4.1718 b=4.1718 c=5.0649 alpha=90.00 beta=90.00 gamma=90.00
Last column: nearest neighbours and their distance in Å.
Fractional positions:
O  0.5000  0.0000  0.0000  2 Na 2.09
O  0.0000  0.5000  0.0000  2 Na 2.09
Na  0.0000  0.0000  0.0000  4 O 2.09
Bi  0.5000  0.5000  0.5000  4 P 2.95, 8 O 3.28
P  0.0000  0.0000  0.5000  2 Na 2.53

Most stable structure - (w); separation to the second - 0.642 eV/atom.

(w)
A plane-wave DFT calculation with PBE-GGA was carried out for a relaxed NaBiPb2O crystal.

Unit cell a=5.1348 b=5.1348 c=4.7167 alpha=90.00 beta=90.00 gamma=90.00
Last column: nearest neighbours and their distance in Å.
Fractional positions:
Pb  0.5000  0.0000  0.0000  2 O 2.57
Pb  0.0000  0.5000  0.0000  2 O 2.57
Na  0.0000  0.0000  0.5000  2 O 2.36
Bi  0.5000  0.5000  0.5000  8 Pb 3.49, 4 Na 3.63
O  0.0000  0.0000  0.0000  2 Na 2.36, 4 Pb 2.57

(x)
A plane-wave DFT calculation with PBE-GGA was carried out for a relaxed NaBiPb2O crystal.

Unit cell a=6.2540 b=4.3141 c=6.2540 alpha=90.00 beta=90.00 gamma=90.00
Last column: nearest neighbours and their distance in Å.
Fractional positions:
Na  0.5000  0.5000  0.5000  8 Pb 3.80
Pb  0.5000  0.0000  0.0000  2 Bi 3.13
Pb  0.0000  0.0000  0.5000  2 Bi 3.13
O  0.0000  0.5000  0.0000  2 Bi 2.16
Bi  0.0000  0.0000  0.0000  2 O 2.16

Most stable structure - (w); separation to the second - 0.639 eV/atom.